Entry 1:
{"formula": "LaFe4Se", "functional": "PBE", "state": "optimized geometry", "cell": [[0.0000, 3.6798, 3.6798], [3.6798, 0.0000, 3.6798], [3.6798, 3.6798, 0.0000]], "species": ["La", "Se", "Fe", "Fe", "Fe", "Fe"], "fractional_positions": [[0.2500, 0.2500, 0.2500], [0.0000, 0.0000, 0.0000], [0.6227, 0.1318, 0.6227], [0.6227, 0.6227, 0.6227], [0.1318, 0.6227, 0.6227], [0.6227, 0.6227, 0.1318]], "spacegroup": "F-43m, No. 216"}

---

Entry 2:
{"formula": "LaFe2Se", "functional": "PBE", "state": "optimized geometry", "cell": [[3.5818, 0.0000, 0.0000], [0.0000, 3.5795, 0.0000], [0.0000, 0.0000, 6.0952]], "species": ["Fe", "Fe", "Se", "La"], "fractional_positions": [[0.0000, 0.0000, 0.9370], [0.0000, 0.0000, 0.5630], [0.5000, 0.5000, 0.7500], [0.5000, 0.5000, 0.2500]], "spacegroup": "P4/mmm, No. 123"}

---

Entry 3:
{"formula": "LaV2FeSe", "functional": "PBE", "state": "optimized geometry", "cell": [[-2.8460, -1.6337, -3.1959], [-0.4928, -4.7230, 2.8532], [-3.5661, 1.7501, 2.2810]], "species": ["Se", "La", "V", "V", "Fe"], "fractional_positions": [[0.0000, 0.5000, 0.0000], [0.0000, 0.0000, 0.0000], [0.5000, 0.0000, 0.0000], [0.0000, 0.0000, 0.5000], [0.5000, 0.5000, 0.5000]], "spacegroup": "P4/mmm, No. 123", "e_above_lowest_polymorph_kj_per_mol_fu": 826}

---

Listing E for the structures above in their given order: -6.921; -6.222; -4.932 eV per atom.
Listing magnetic moment for the structures above in their given order: 10.8; 5.2; 1.1 μB/f.u..
Listing E_form (uncorrected) for the structures above in their given order: 123; 112; 2090 meV per atom.